Entry 1:
MnV5Ru6: optimized geometry, PBE.

Values from the calculation:
SG = Cmmm

```
data_MnV5Ru6
_symmetry_space_group_name_H-M 'P 1'
_symmetry_Int_Tables_number 1
_symmetry_space_group_name_Hall 'P 1'
_cell_length_a 4.259
_cell_length_b 6.022
_cell_length_c 6.737
_cell_angle_alpha 90.00
_cell_angle_beta 108.42
_cell_angle_gamma 90.00
loop_
_atom_site_label
_atom_site_fract_x
_atom_site_fract_y
_atom_site_fract_z
Ru1 0.831 0.752 0.661
Ru2 0.831 0.248 0.661
Ru3 0.500 0.253 0.000
Ru4 0.500 0.747 0.000
Ru5 0.169 0.752 0.339
Ru6 0.169 0.248 0.339
Mn1 0.000 0.000 0.000
V1 0.668 0.500 0.337
V2 0.340 0.000 0.678
V3 0.000 0.500 0.000
V4 0.660 0.000 0.322
V5 0.332 0.500 0.663
```

---

Entry 2:
PaZn8Pd4: optimized geometry, PBE.

Values from the calculation:
SG = I4/mmm

```
data_PaZn8Pd4
_symmetry_space_group_name_H-M 'P 1'
_symmetry_Int_Tables_number 1
_symmetry_space_group_name_Hall 'P 1'
_cell_length_a 5.423
_cell_length_b 6.806
_cell_length_c 6.806
_cell_angle_alpha 80.87
_cell_angle_beta 66.52
_cell_angle_gamma 66.52
loop_
_atom_site_label
_atom_site_fract_x
_atom_site_fract_y
_atom_site_fract_z
Pa1 0.000 0.000 0.000
Zn1 0.000 0.350 0.650
Zn2 0.000 0.650 0.350
Zn3 0.350 0.650 0.650
Zn4 0.650 0.350 0.350
Zn5 0.500 0.785 0.215
Zn6 0.500 0.215 0.785
Zn7 0.285 0.215 0.215
Zn8 0.715 0.785 0.785
Pd1 0.000 0.000 0.500
Pd2 0.500 0.000 0.500
Pd3 0.000 0.500 0.000
Pd4 0.500 0.500 0.000
```

---

Entry 3:
ZnFeCl2: optimized geometry, PBE.

Values from the calculation:
SG = R-3m
E_form (uncorrected) = -2 kJ/mol of atoms

```
data_ZnFeCl2
_symmetry_space_group_name_H-M 'P 1'
_symmetry_Int_Tables_number 1
_symmetry_space_group_name_Hall 'P 1'
_cell_length_a 9.658
_cell_length_b 9.658
_cell_length_c 9.658
_cell_angle_alpha 20.19
_cell_angle_beta 20.19
_cell_angle_gamma 20.19
loop_
_atom_site_label
_atom_site_fract_x
_atom_site_fract_y
_atom_site_fract_z
Zn1 0.500 0.500 0.500
Fe1 0.000 0.000 0.000
Cl1 0.925 0.925 0.925
Cl2 0.075 0.075 0.075
```

---

Entry 4:
LaHgIr: optimized geometry, PBE.

Values from the calculation:
SG = F-43m

```
data_LaHgIr
_symmetry_space_group_name_H-M 'P 1'
_symmetry_Int_Tables_number 1
_symmetry_space_group_name_Hall 'P 1'
_cell_length_a 4.822
_cell_length_b 4.822
_cell_length_c 4.822
_cell_angle_alpha 60.00
_cell_angle_beta 60.00
_cell_angle_gamma 60.00
loop_
_atom_site_label
_atom_site_fract_x
_atom_site_fract_y
_atom_site_fract_z
Hg1 0.500 0.500 0.500
Ir1 0.750 0.750 0.750
La1 0.000 0.000 0.000
```

---

Per-record total energy, Ry per atom: -0.6932 -0.2523 -0.2484 -0.3754